# Y2Ni4P3Pd, optimized geometry, DFT PBE-GGA
# ΔH_f (0 K): -867 meV/atom
# N(E_F): 0.758 states/eV per atom
# Electronic total energy: -6.615 eV per atom
data_Y2Ni4P3Pd
_chemical_formula_sum 'Y2 Ni4 P3 Pd1'
_cell_length_a 3.917
_cell_length_b 3.917
_cell_length_c 9.685
_cell_angle_alpha 90.00
_cell_angle_beta 90.00
_cell_angle_gamma 90.00
_symmetry_space_group_name_H-M 'P 1'
_symmetry_Int_Tables_number 1
loop_
_symmetry_equiv_pos_as_xyz
'x,y,z'
loop_
_atom_site_label
_atom_site_type_symbol
_atom_site_fract_x
_atom_site_fract_y
_atom_site_fract_z
_atom_site_occupancy
Y1 Y 0.000 0.500 0.244 1
Y2 Y 0.500 0.000 0.756 1
Ni1 Ni 0.000 0.000 0.000 1
Ni2 Ni 0.000 0.500 0.648 1
Ni3 Ni 0.500 0.000 0.352 1
Ni4 Ni 0.500 0.500 0.000 1
P1 P 0.000 0.500 0.873 1
P2 P 0.500 0.000 0.127 1
P3 P 0.500 0.500 0.500 1
Pd1 Pd 0.000 0.000 0.500 1